No. 1
DFT (GGA-PBE) results for a relaxed Nd12HoSc2 crystal.

Properties
* Fermi-level density of states: 1.463 states/eV per atom
* M_tot: 0.0 μB/cell
* VASP energy: -4.876 eV per atom

a b c (Å): 6.8170 11.0732 26.8166
angles (deg): 90.00 92.89 90.00
With the nearest neighbours (Å) after each atom.
Space group C2/m (No. 12)
Unique sites:
Nd1 0.0391 0.2304 0.4338 (multiplicity 8)  6 Nd 3.44-3.66, 3 Ho 3.55-3.61
Nd2 0.1351 0.3237 0.9472 (multiplicity 8)  9 Nd 3.39-3.78
Nd3 0.1639 0.0000 0.9401 (multiplicity 4)  9 Nd 3.56-3.87
Nd4 0.1717 0.3061 0.1705 (multiplicity 8)  2 Sc 3.37-3.46, 7 Nd 3.47-3.77
Nd5 0.1799 0.5000 0.6157 (multiplicity 4)  8 Nd 3.37-3.62, 1 Ho 3.53, 1 Sc 3.65
Nd6 0.2045 0.0000 0.6453 (multiplicity 4)  2 Sc 3.30-3.36, 6 Nd 3.37-3.66, 1 Ho 3.55
Nd7 0.2073 0.2195 0.2984 (multiplicity 8)  3 Sc 3.27-3.65, 5 Nd 3.41-3.56
Nd8 0.2395 0.0000 0.1493 (multiplicity 4)  2 Sc 3.20-3.21, 5 Nd 3.39-3.56
Ho1 0.2448 0.5000 0.4858 (multiplicity 4)  2 Ho 3.46-3.52, 9 Nd 3.53-3.87
Sc1 0.0264 0.5000 0.7442 (multiplicity 4)  6 Nd 3.20-3.46, 2 Sc 3.30-3.57
Sc2 0.0491 0.0000 0.7598 (multiplicity 4)  6 Nd 3.21-3.37, 2 Sc 3.30-3.57

No. 2
DFT (GGA-PBE) results for a relaxed Nd2Ho7Sc2 crystal.

Properties
* Fermi-level density of states: 1.487 states/eV per atom
* M_tot: 0.0 μB/cell
* VASP energy: -4.726 eV per atom
* energy above the lowest structure with this stoichiometry: 0.10 eV/f.u.

a b c (Å): 11.0982 11.3740 5.9188
angles (deg): 90.00 113.15 90.00
With the nearest neighbours (Å) after each atom.
Space group C2/m (No. 12)
Unique sites:
Nd1 0.0000 0.2176 0.0000 (multiplicity 4)  6 Ho 3.26-3.54, 2 Sc 3.61
Ho1 0.0000 0.0000 0.5000 (multiplicity 2)  6 Ho 3.19-3.50
Ho2 0.1742 0.2319 0.6678 (multiplicity 8)  3 Ho 3.10-3.33, 2 Nd 3.26-3.42
Ho3 0.2432 0.0000 0.0955 (multiplicity 4)  3 Sc 3.32-3.53, 5 Ho 3.33-3.52, 2 Nd 3.54
Sc1 0.0882 0.5000 0.3004 (multiplicity 4)  2 Sc 3.32-3.61, 7 Ho 3.32-3.68, 2 Nd 3.61

No. 3
DFT (GGA-PBE) results for a relaxed Nd2HoSc3 crystal.

Properties
* Fermi-level density of states: 1.797 states/eV per atom
* M_tot: 0.0 μB/cell
* VASP energy: -5.436 eV per atom

a b c (Å): 16.2079 5.3317 9.6848
angles (deg): 90.00 123.40 90.00
With the nearest neighbours (Å) after each atom.
Space group C2/m (No. 12)
Unique sites:
Nd1 0.0127 0.0000 0.3342 (multiplicity 4)  5 Sc 3.19-3.52, 1 Nd 3.45
Nd2 0.2225 0.5000 0.3640 (multiplicity 4)  4 Sc 3.16-3.44, 2 Nd 3.50
Ho1 0.1312 0.5000 0.6471 (multiplicity 4)  5 Sc 3.41-3.51, 1 Ho 3.59, 7 Nd 3.61-3.76
Sc1 0.0235 0.5000 0.8721 (multiplicity 4)  4 Sc 2.96-3.25, 2 Nd 3.19
Sc2 0.1173 0.0000 0.0979 (multiplicity 4)  4 Sc 3.18-3.25, 1 Ho 3.41, 4 Nd 3.44-3.52
Sc3 0.2425 0.0000 0.9263 (multiplicity 4)  4 Sc 2.97-3.25, 1 Nd 3.16

No. 4
DFT (GGA-PBE) results for a relaxed Nd5Ho4Sc crystal.

Properties
* Fermi-level density of states: 1.661 states/eV per atom
* M_tot: 0.0 μB/cell
* VASP energy: -4.643 eV per atom
* energy above the lowest structure with this stoichiometry: 1.81 eV/f.u.

a b c (Å): 3.5423 9.3997 10.6745
angles (deg): 75.56 89.98 79.25
With the nearest neighbours (Å) after each atom.
Space group P-1 (No. 2)
Unique sites:
Nd1 0.0000 0.0000 0.0000 (multiplicity 1)  4 Ho 3.34, 6 Nd 3.54-3.55
Nd2 0.3322 0.3392 0.9728 (multiplicity 2)  2 Ho 3.39-3.44, 6 Nd 3.54-3.64
Nd3 0.3438 0.3137 0.5980 (multiplicity 2)  4 Ho 3.42-3.70, 2 Nd 3.54, 2 Sc 3.76
Ho1 0.1737 0.6488 0.7125 (multiplicity 2)  4 Ho 3.34-3.54, 4 Nd 3.44-3.70, 1 Sc 3.45
Ho2 0.4706 0.0588 0.2479 (multiplicity 2)  2 Sc 3.15, 4 Nd 3.34-3.42, 2 Ho 3.34-3.35
Sc1 0.0000 0.0000 0.5000 (multiplicity 1)  6 Ho 3.15-3.45

No. 5
DFT (GGA-PBE) results for a relaxed Nd8HoSc2 crystal.

Properties
* Fermi-level density of states: 1.325 states/eV per atom
* M_tot: 0.0 μB/cell
* VASP energy: -4.878 eV per atom
* energy above the lowest structure with this stoichiometry: 0.37 eV/f.u.

a b c (Å): 9.0466 16.1878 5.9011
angles (deg): 90.00 121.92 90.00
With the nearest neighbours (Å) after each atom.
Space group C2/m (No. 12)
Unique sites:
Nd1 0.0000 0.2084 0.0000 (multiplicity 4)  1 Ho 3.37, 2 Sc 3.38, 6 Nd 3.59-3.69
Nd2 0.0805 0.5000 0.7945 (multiplicity 4)  3 Nd 2.97-3.31, 1 Ho 3.32
Nd3 0.2158 0.1195 0.6713 (multiplicity 8)  6 Nd 3.31-3.69, 2 Sc 3.42-3.50
Ho1 0.0000 0.0000 0.0000 (multiplicity 2)  4 Nd 3.32-3.37
Sc1 0.0000 0.3100 0.5000 (multiplicity 4)  8 Nd 3.38-3.50

No. 6
DFT (GGA-PBE) results for a relaxed NdHo7Sc4 crystal.

Properties
* Fermi-level density of states: 1.407 states/eV per atom
* M_tot: 0.0 μB/cell
* VASP energy: -5.156 eV per atom
* energy above the lowest structure with this stoichiometry: 0.00 eV/f.u.

a b c (Å): 6.0210 6.9548 8.5566
angles (deg): 90.03 103.66 90.05
With the nearest neighbours (Å) after each atom.
Space group P-1 (No. 2)
Unique sites:
Nd1 0.0000 0.0000 0.0000 (multiplicity 1)  10 Ho 3.47-3.52, 2 Sc 3.47
Ho1 0.0000 0.5000 0.0000 (multiplicity 1)  4 Sc 3.43-3.46, 6 Ho 3.44-3.48, 2 Nd 3.48
Ho2 0.2246 0.0006 0.6625 (multiplicity 2)  5 Sc 3.37-3.50, 6 Ho 3.38-3.54, 1 Nd 3.47
Ho3 0.2839 0.7429 0.3403 (multiplicity 2)  6 Sc 3.32-3.57, 5 Ho 3.38-3.54, 1 Nd 3.50
Ho4 0.4977 0.2551 0.0045 (multiplicity 2)  7 Ho 3.41-3.55, 3 Sc 3.43-3.48, 2 Nd 3.47-3.52
Sc1 0.2163 0.4998 0.6599 (multiplicity 2)  4 Sc 3.30-3.50, 8 Ho 3.32-3.48
Sc2 0.2752 0.2560 0.3384 (multiplicity 2)  3 Sc 3.32-3.50, 8 Ho 3.34-3.57, 1 Nd 3.47

No. 7
DFT (GGA-PBE) results for a relaxed Nd6HoSc8 crystal.

Properties
* Fermi-level density of states: 1.636 states/eV per atom
* M_tot: 0.0 μB/cell
* VASP energy: -5.407 eV per atom

a b c (Å): 9.3059 9.3059 17.6040
angles (deg): 90.00 90.00 120.00
With the nearest neighbours (Å) after each atom.
Space group R-3 (No. 148, hexagonal axes)
Unique sites:
Nd1 0.0215 0.2373 0.4055 (multiplicity 18)  6 Sc 3.32-3.63, 3 Nd 3.48-3.66
Ho1 0.0000 0.0000 0.0000 (multiplicity 3)  6 Sc 2.97
Sc1 0.0000 0.0000 0.2250 (multiplicity 6)  6 Sc 3.23-3.25
Sc2 0.0516 0.2793 0.8998 (multiplicity 18)  1 Ho 2.97, 3 Sc 2.99-3.25, 2 Nd 3.32-3.33

No. 8
DFT (GGA-PBE) results for a relaxed Nd4HoSc crystal.

Properties
* Fermi-level density of states: 1.622 states/eV per atom
* M_tot: 0.0 μB/cell
* VASP energy: -4.420 eV per atom
* energy above the lowest structure with this stoichiometry: 3.25 eV/f.u.

a b c (Å): 11.4773 11.5274 3.4651
angles (deg): 90.00 90.00 90.00
With the nearest neighbours (Å) after each atom.
Space group Cmmm (No. 65)
Unique sites:
Nd1 0.0000 0.2330 0.0000 (multiplicity 4)  1 Ho 3.08, 2 Sc 3.20
Nd2 0.2454 0.5000 0.5000 (multiplicity 4)  1 Sc 2.92
Ho1 0.0000 0.5000 0.0000 (multiplicity 2)  6 Nd 3.08-3.31
Sc1 0.0000 0.0000 0.5000 (multiplicity 2)  6 Nd 2.92-3.20

No. 9
DFT (GGA-PBE) results for a relaxed NdHo4Sc2 crystal.

Properties
* Fermi-level density of states: 1.665 states/eV per atom
* M_tot: 0.0 μB/cell
* VASP energy: -5.060 eV per atom
* energy above the lowest structure with this stoichiometry: 0.00 eV/f.u.

a b c (Å): 6.9201 8.3587 8.5731
angles (deg): 114.39 101.68 101.99
With the nearest neighbours (Å) after each atom.
Space group P1 (No. 1)
Unique sites:
Nd1 0.0000 0.0000 0.0000 (multiplicity 1)  8 Ho 3.34-3.72, 3 Sc 3.42-3.54, 1 Nd 3.57
Nd2 0.0847 0.7679 0.5771 (multiplicity 1)  5 Sc 3.26-3.49, 6 Ho 3.42-3.64, 1 Nd 3.57
Ho1 0.2001 0.3352 0.4569 (multiplicity 1)  7 Ho 3.43-3.80, 4 Sc 3.46-3.71, 2 Nd 3.50-3.64
Ho2 0.3044 0.8844 0.2921 (multiplicity 1)  5 Sc 3.22-3.54, 2 Nd 3.48-3.51, 2 Ho 3.54-3.59
Ho3 0.3968 0.4460 0.1238 (multiplicity 1)  8 Ho 3.44-3.75, 4 Sc 3.48-3.58, 1 Nd 3.72
Ho4 0.5000 0.9992 0.9874 (multiplicity 1)  4 Sc 3.22-3.51, 3 Ho 3.41-3.55, 3 Nd 3.44-3.52
Ho5 0.6128 0.5944 0.8525 (multiplicity 1)  3 Sc 3.04-3.27, 1 Nd 3.40
Ho6 0.6980 0.3308 0.4531 (multiplicity 1)  8 Ho 3.46-3.79, 4 Sc 3.48-3.71, 1 Nd 3.64
Ho7 0.8908 0.4421 0.1137 (multiplicity 1)  3 Sc 3.44-3.63, 8 Ho 3.44-3.80, 2 Nd 3.52-3.70
Ho8 0.9716 0.1746 0.7127 (multiplicity 1)  3 Sc 3.06-3.36, 2 Nd 3.34-3.42
Sc1 0.1171 0.5960 0.8570 (multiplicity 1)  3 Ho 3.06-3.41, 2 Nd 3.26-3.42
Sc2 0.4780 0.1774 0.7181 (multiplicity 1)  3 Ho 3.04-3.22, 1 Sc 3.38
Sc3 0.5918 0.7772 0.5809 (multiplicity 1)  5 Ho 3.27-3.49, 2 Sc 3.38-3.44, 3 Nd 3.43-3.54
Sc4 0.7911 0.8825 0.2858 (multiplicity 1)  6 Ho 3.23-3.58, 1 Sc 3.44, 2 Nd 3.45-3.47

No. 10
DFT (GGA-PBE) results for a relaxed Nd3HoSc crystal.

Properties
* Fermi-level density of states: 1.470 states/eV per atom
* M_tot: 0.0 μB/cell
* VASP energy: -4.965 eV per atom
* energy above the lowest structure with this stoichiometry: 0.00 eV/f.u.

a b c (Å): 3.5359 8.8102 11.4201
angles (deg): 68.46 90.00 78.46
With the nearest neighbours (Å) after each atom.
Space group P-1 (No. 2)
Unique sites:
Nd1 0.0244 0.4517 0.1495 (multiplicity 2)  5 Nd 3.20-3.54, 1 Sc 3.43, 1 Ho 3.44
Nd2 0.3285 0.8428 0.9549 (multiplicity 2)  3 Ho 3.51-3.90, 8 Nd 3.54-3.72, 2 Sc 3.78-3.79
Nd3 0.4240 0.6508 0.5697 (multiplicity 2)  3 Sc 3.35-3.51, 5 Nd 3.47-3.54, 4 Ho 3.57-3.71
Ho1 0.1271 0.2466 0.7214 (multiplicity 2)  6 Nd 3.44-3.71, 2 Sc 3.47, 2 Ho 3.54
Sc1 0.2278 0.0446 0.3592 (multiplicity 2)  4 Nd 3.35-3.51, 2 Ho 3.47, 4 Sc 3.49-3.54